1.
BeReCl2 after structural relaxation, computed with PBE.

Unit cell a=2.8497 b=5.4010 c=4.1261 alpha=90.00 beta=90.00 gamma=90.00
Element x y z (fractional)
Re  0.5000  0.0000  0.5000
Be  0.0000  0.5000  0.5000
Cl  0.0000  0.0000  0.0000
Cl  0.5000  0.5000  0.0000

Results
Distance to the lowest polymorph of the same formula in eV/atom: 0.990

---

2.
IrSICl2 after structural relaxation, computed with PBE.

Unit cell a=4.9233 b=4.9233 c=4.6119 alpha=90.00 beta=90.00 gamma=90.00
Element x y z (fractional)
I  0.5000  0.5000  0.5000
S  0.0000  0.0000  0.5000
Ir  0.0000  0.0000  0.0000
Cl  0.0000  0.5000  0.0000
Cl  0.5000  0.0000  0.0000

Results
Distance to the lowest polymorph of the same formula in eV/atom: 0.000

---

3.
CrInTe2N after structural relaxation, computed with PBE.

Unit cell a=5.5594 b=5.5594 c=3.9269 alpha=90.00 beta=90.00 gamma=90.00
Element x y z (fractional)
Cr  0.5000  0.5000  0.5000
N  0.0000  0.0000  0.5000
Te  0.0000  0.5000  0.0000
Te  0.5000  0.0000  0.0000
In  0.0000  0.0000  0.0000

Results
Distance to the lowest polymorph of the same formula in eV/atom: 1.480

---

Number 1: formation energy from raw total energies 0.8902 eV/atom. Number 2: formation energy from raw total energies 0.2743 eV/atom. Number 3: formation energy from raw total energies 1.5856 eV/atom.